DFT (PBE) results for CuGeSO after structural relaxation.

## Properties
DOS at the Fermi energy   0.3660 states/eV per atom
ΔE_f (raw)   -53.6 kJ per mole of atoms
Size of the total moment   0.000 μB/atom
Symmetry   No. 129
Calculated volume   14.855 Å³ per atom

a = 3.624 Å, b = 3.624 Å, c = 9.048 Å
α = 90.00°, β = 90.00°, γ = 90.00°
Fractional coordinates of all 8 atoms:
1 Cu 0.250 0.750 0.000
2 Cu 0.750 0.250 0.000
3 Ge 0.250 0.250 0.384
4 Ge 0.750 0.750 0.616
5 S 0.250 0.250 0.841
6 S 0.750 0.750 0.159
7 O 0.250 0.750 0.500
8 O 0.750 0.250 0.500

---

DFT (PBE) results for CsBrO2 after structural relaxation.

## Properties
DOS at the Fermi energy   1.4268 states/eV per atom
ΔE_f (raw)   33.5 kJ per mole of atoms
Size of the total moment   1.000 μB/atom
Symmetry   No. 225
Calculated volume   23.786 Å³ per atom
Energy relative to the lowest polymorph listed for this composition   17.194 kcal/mol of atoms

a = 5.124 Å, b = 5.124 Å, c = 5.124 Å
α = 60.00°, β = 60.00°, γ = 60.00°
Fractional coordinates of all 4 atoms:
1 Cs 0.000 0.000 0.000
2 Br 0.500 0.500 0.500
3 O 0.250 0.250 0.250
4 O 0.750 0.750 0.750

---

DFT (PBE) results for YSiI2 after structural relaxation.

## Properties
DOS at the Fermi energy   0.8017 states/eV per atom
ΔE_f (raw)   -0.3 kJ per mole of atoms
Size of the total moment   0.000 μB/atom
Symmetry   No. 122
Calculated volume   30.631 Å³ per atom
Energy relative to the lowest polymorph listed for this composition   1.687 kcal/mol of atoms

a = 6.869 Å, b = 6.869 Å, c = 6.869 Å
α = 105.29°, β = 105.29°, γ = 118.20°
Fractional coordinates of all 8 atoms:
1 Y 0.000 0.000 0.000
2 Y 0.750 0.250 0.500
3 Si 0.250 0.750 0.500
4 Si 0.500 0.500 0.000
5 I 0.130 0.125 0.505
6 I 0.375 0.870 0.995
7 I 0.620 0.625 0.495
8 I 0.875 0.380 0.005

---

DFT (PBE) results for MnNi5Rh after structural relaxation.

## Properties
DOS at the Fermi energy   1.8837 states/eV per atom
Size of the total moment   0.176 μB/atom
Symmetry   No. 65
Calculated volume   12.401 Å³ per atom
Total energy   -6.19 eV/atom

a = 4.297 Å, b = 4.297 Å, c = 5.013 Å
α = 90.00°, β = 90.00°, γ = 110.29°
Fractional coordinates of all 7 atoms:
1 Mn 0.000 0.000 0.000
2 Ni 0.000 0.500 0.247
3 Ni 0.000 0.500 0.753
4 Ni 0.500 0.000 0.247
5 Ni 0.500 0.000 0.753
6 Ni 0.500 0.500 0.000
7 Rh 0.500 0.500 0.500

---

DFT (PBE) results for La3As2H after structural relaxation.

## Properties
DOS at the Fermi energy   0.5369 states/eV per atom
Size of the total moment   0.000 μB/atom
Symmetry   No. 62
Calculated volume   25.200 Å³ per atom
Energy relative to the lowest polymorph listed for this composition   0.000 kcal/mol of atoms

a = 8.379 Å, b = 4.310 Å, c = 16.748 Å
α = 90.00°, β = 90.00°, γ = 90.00°
Fractional coordinates of all 24 atoms:
1 La 0.008 0.250 0.103
2 La 0.129 0.750 0.431
3 La 0.163 0.250 0.720
4 La 0.337 0.750 0.220
5 La 0.371 0.250 0.931
6 La 0.492 0.750 0.603
7 La 0.508 0.250 0.397
8 La 0.629 0.750 0.069
9 La 0.663 0.250 0.780
10 La 0.837 0.750 0.280
11 La 0.871 0.250 0.569
12 La 0.992 0.750 0.897
13 As 0.117 0.250 0.288
14 As 0.238 0.750 0.038
15 As 0.262 0.250 0.538
16 As 0.383 0.750 0.788
17 As 0.617 0.250 0.212
18 As 0.738 0.750 0.462
19 As 0.762 0.250 0.962
20 As 0.883 0.750 0.712
21 H 0.114 0.250 0.865
22 H 0.386 0.750 0.365
23 H 0.614 0.250 0.635
24 H 0.886 0.750 0.135

---

DFT (PBE) results for Cs3Mg2AgBr9 after structural relaxation.

## Properties
DOS at the Fermi energy   0.7372 states/eV per atom
ΔE_f (raw)   -128.5 kJ per mole of atoms
Size of the total moment   0.000 μB/atom
Symmetry   No. 164
Calculated volume   32.984 Å³ per atom

a = 7.713 Å, b = 7.713 Å, c = 9.604 Å
α = 90.00°, β = 90.00°, γ = 120.00°
Fractional coordinates of all 15 atoms:
1 Cs 0.000 0.000 0.000
2 Cs 0.333 0.667 0.664
3 Cs 0.667 0.333 0.336
4 Mg 0.333 0.667 0.159
5 Mg 0.667 0.333 0.841
6 Ag 0.000 0.000 0.500
7 Br 0.000 0.500 0.000
8 Br 0.172 0.344 0.332
9 Br 0.172 0.828 0.332
10 Br 0.344 0.172 0.668
11 Br 0.500 0.000 0.000
12 Br 0.500 0.500 0.000
13 Br 0.656 0.828 0.332
14 Br 0.828 0.172 0.668
15 Br 0.828 0.656 0.668

---

DFT (PBE) results for Ce7PuGe2 after structural relaxation.

## Properties
DOS at the Fermi energy   2.1785 states/eV per atom
Size of the total moment   0.169 μB/atom
Symmetry   No. 15
Calculated volume   24.242 Å³ per atom
Total energy   -6.78 eV/atom

a = 8.219 Å, b = 8.219 Å, c = 10.531 Å
α = 122.27°, β = 122.27°, γ = 59.93°
Fractional coordinates of all 20 atoms:
1 Ce 0.008 0.992 0.750
2 Ce 0.169 0.556 0.683
3 Ce 0.185 0.410 0.972
4 Ce 0.228 0.628 0.405
5 Ce 0.372 0.772 0.095
6 Ce 0.410 0.185 0.472
7 Ce 0.444 0.831 0.817
8 Ce 0.556 0.169 0.183
9 Ce 0.590 0.815 0.528
10 Ce 0.628 0.228 0.905
11 Ce 0.772 0.372 0.595
12 Ce 0.815 0.590 0.028
13 Ce 0.831 0.444 0.317
14 Ce 0.992 0.008 0.250
15 Pu 0.416 0.584 0.250
16 Pu 0.584 0.416 0.750
17 Ge 0.115 0.219 0.132
18 Ge 0.219 0.115 0.632
19 Ge 0.781 0.885 0.368
20 Ge 0.885 0.781 0.868

---

DFT (PBE) results for CdSb2Cl after structural relaxation.

## Properties
DOS at the Fermi energy   0.6771 states/eV per atom
ΔE_f (raw)   -4.9 kJ per mole of atoms
Size of the total moment   0.000 μB/atom
Symmetry   No. 139
Calculated volume   27.369 Å³ per atom
Energy relative to the lowest polymorph listed for this composition   5.382 kcal/mol of atoms

a = 5.220 Å, b = 5.220 Å, c = 5.220 Å
α = 110.13°, β = 110.13°, γ = 108.16°
Fractional coordinates of all 4 atoms:
1 Cd 0.000 0.000 0.000
2 Sb 0.000 0.500 0.500
3 Sb 0.500 0.000 0.500
4 Cl 0.500 0.500 0.000